#w
# HfIr2I | Alexandria via LeMat-Bulk | GGA-PBE | optimized geometry
# D(E_F): 3.2 states/eV/f.u.
# spin magnetization: 0.00 Bohr magnetons per cell
# crystal system: tetragonal
data_HfIr2I
_symmetry_space_group_name_H-M 'I -4 2 d'
_symmetry_Int_Tables_number 122
_symmetry_space_group_name_Hall 'I -4 2bw'
_cell_length_a 5.828
_cell_length_b 5.828
_cell_length_c 12.356
_cell_angle_alpha 90.00
_cell_angle_beta 90.00
_cell_angle_gamma 90.00
loop_
_atom_site_label
_atom_site_type_symbol
_atom_site_fract_x
_atom_site_fract_y
_atom_site_fract_z
_atom_site_occupancy
Hf1 Hf 0.000 0.000 0.000 1
Ir1 Ir 0.247 0.250 0.625 1
I1 I 0.000 0.000 0.500 1

---

#x
# HfIr2I | Alexandria via LeMat-Bulk | GGA-PBE | optimized geometry
# D(E_F): 7.9 states/eV/f.u.
# spin magnetization: 0.00 Bohr magnetons per cell
# crystal system: cubic
data_HfIr2I
_symmetry_space_group_name_H-M 'F m -3 m'
_symmetry_Int_Tables_number 225
_symmetry_space_group_name_Hall '-F 4 2 3'
_cell_length_a 6.704
_cell_length_b 6.704
_cell_length_c 6.704
_cell_angle_alpha 90.00
_cell_angle_beta 90.00
_cell_angle_gamma 90.00
loop_
_atom_site_label
_atom_site_type_symbol
_atom_site_fract_x
_atom_site_fract_y
_atom_site_fract_z
_atom_site_occupancy
Hf1 Hf 0.000 0.000 0.000 1
Ir1 Ir 0.250 0.250 0.250 1
I1 I 0.000 0.000 0.500 1

---

Which structure is most stable? #x, by 7.6 kJ/mol of atoms over the runner-up.

---

#w
# HfIrI3 | Alexandria via LeMat-Bulk | GGA-PBE | optimized geometry
# D(E_F): 6.4 states/eV/f.u.
# spin magnetization: 1.03 Bohr magnetons per cell
# crystal system: cubic
data_HfIrI3
_symmetry_space_group_name_H-M 'P m -3 m'
_symmetry_Int_Tables_number 221
_symmetry_space_group_name_Hall '-P 4 2 3'
_cell_length_a 5.321
_cell_length_b 5.321
_cell_length_c 5.321
_cell_angle_alpha 90.00
_cell_angle_beta 90.00
_cell_angle_gamma 90.00
loop_
_atom_site_label
_atom_site_type_symbol
_atom_site_fract_x
_atom_site_fract_y
_atom_site_fract_z
_atom_site_occupancy
Hf1 Hf 0.000 0.000 0.000 1
Ir1 Ir 0.500 0.500 0.500 1
I1 I 0.000 0.500 0.500 1

---

#x
# HfIrI3 | Alexandria via LeMat-Bulk | GGA-PBE | optimized geometry
# D(E_F): 8.9 states/eV/f.u.
# spin magnetization: 2.35 Bohr magnetons per cell
# crystal system: cubic
data_HfIrI3
_symmetry_space_group_name_H-M 'P m -3 m'
_symmetry_Int_Tables_number 221
_symmetry_space_group_name_Hall '-P 4 2 3'
_cell_length_a 5.631
_cell_length_b 5.631
_cell_length_c 5.631
_cell_angle_alpha 90.00
_cell_angle_beta 90.00
_cell_angle_gamma 90.00
loop_
_atom_site_label
_atom_site_type_symbol
_atom_site_fract_x
_atom_site_fract_y
_atom_site_fract_z
_atom_site_occupancy
Hf1 Hf 0.000 0.000 0.000 1
Ir1 Ir 0.500 0.500 0.500 1
I1 I 0.000 0.000 0.500 1

---

Which structure is most stable? #w, by 8.0 kJ/mol of atoms over the runner-up.

---

#w
# HfIrIN2 | Alexandria via LeMat-Bulk | GGA-PBE | optimized geometry
# D(E_F): 4.8 states/eV/f.u.
# spin magnetization: 1.54 Bohr magnetons per cell
# crystal system: tetragonal
data_HfIrIN2
_symmetry_space_group_name_H-M 'P 4/m m m'
_symmetry_Int_Tables_number 123
_symmetry_space_group_name_Hall '-P 4 2'
_cell_length_a 4.043
_cell_length_b 4.043
_cell_length_c 6.210
_cell_angle_alpha 90.00
_cell_angle_beta 90.00
_cell_angle_gamma 90.00
loop_
_atom_site_label
_atom_site_type_symbol
_atom_site_fract_x
_atom_site_fract_y
_atom_site_fract_z
_atom_site_occupancy
Hf1 Hf 0.000 0.000 0.000 1
Ir1 Ir 0.500 0.500 0.500 1
I1 I 0.000 0.000 0.500 1
N1 N 0.000 0.500 0.000 1

---

#x
# HfIrIN2 | Alexandria via LeMat-Bulk | GGA-PBE | optimized geometry
# D(E_F): 3.5 states/eV/f.u.
# spin magnetization: 0.31 Bohr magnetons per cell
# crystal system: tetragonal
data_HfIrIN2
_symmetry_space_group_name_H-M 'P 4/m m m'
_symmetry_Int_Tables_number 123
_symmetry_space_group_name_Hall '-P 4 2'
_cell_length_a 3.853
_cell_length_b 3.853
_cell_length_c 6.789
_cell_angle_alpha 90.00
_cell_angle_beta 90.00
_cell_angle_gamma 90.00
loop_
_atom_site_label
_atom_site_type_symbol
_atom_site_fract_x
_atom_site_fract_y
_atom_site_fract_z
_atom_site_occupancy
Hf1 Hf 0.000 0.000 0.000 1
Ir1 Ir 0.500 0.500 0.500 1
I1 I 0.500 0.500 0.000 1
N1 N 0.000 0.500 0.500 1

---

Which structure is most stable? #w, by 22.8 kJ/mol of atoms over the runner-up.

---

#w
# HfSb2IrI | Alexandria via LeMat-Bulk | GGA-PBE | optimized geometry
# D(E_F): 6.4 states/eV/f.u.
# spin magnetization: 0.00 Bohr magnetons per cell
# crystal system: tetragonal
data_HfSb2IrI
_symmetry_space_group_name_H-M 'P 4/m m m'
_symmetry_Int_Tables_number 123
_symmetry_space_group_name_Hall '-P 4 2'
_cell_length_a 5.137
_cell_length_b 5.137
_cell_length_c 5.358
_cell_angle_alpha 90.00
_cell_angle_beta 90.00
_cell_angle_gamma 90.00
loop_
_atom_site_label
_atom_site_type_symbol
_atom_site_fract_x
_atom_site_fract_y
_atom_site_fract_z
_atom_site_occupancy
Hf1 Hf 0.000 0.000 0.000 1
Sb1 Sb 0.000 0.500 0.500 1
Ir1 Ir 0.500 0.500 0.500 1
I1 I 0.500 0.500 0.000 1

---

#x
# HfSb2IrI | Alexandria via LeMat-Bulk | GGA-PBE | optimized geometry
# D(E_F): 6.9 states/eV/f.u.
# spin magnetization: 1.91 Bohr magnetons per cell
# crystal system: tetragonal
data_HfSb2IrI
_symmetry_space_group_name_H-M 'P 4/m m m'
_symmetry_Int_Tables_number 123
_symmetry_space_group_name_Hall '-P 4 2'
_cell_length_a 5.513
_cell_length_b 5.513
_cell_length_c 5.396
_cell_angle_alpha 90.00
_cell_angle_beta 90.00
_cell_angle_gamma 90.00
loop_
_atom_site_label
_atom_site_type_symbol
_atom_site_fract_x
_atom_site_fract_y
_atom_site_fract_z
_atom_site_occupancy
Hf1 Hf 0.000 0.000 0.000 1
Sb1 Sb 0.000 0.500 0.000 1
Ir1 Ir 0.500 0.500 0.500 1
I1 I 0.000 0.000 0.500 1

---

Which structure is most stable? #w, by 39.3 kJ/mol of atoms over the runner-up.

---

#w
# HfTe2IrI | Alexandria via LeMat-Bulk | GGA-PBE | optimized geometry
# D(E_F): 8.3 states/eV/f.u.
# spin magnetization: 2.79 Bohr magnetons per cell
# crystal system: tetragonal
data_HfTe2IrI
_symmetry_space_group_name_H-M 'P 4/m m m'
_symmetry_Int_Tables_number 123
_symmetry_space_group_name_Hall '-P 4 2'
_cell_length_a 5.535
_cell_length_b 5.535
_cell_length_c 5.566
_cell_angle_alpha 90.00
_cell_angle_beta 90.00
_cell_angle_gamma 90.00
loop_
_atom_site_label
_atom_site_type_symbol
_atom_site_fract_x
_atom_site_fract_y
_atom_site_fract_z
_atom_site_occupancy
Hf1 Hf 0.000 0.000 0.000 1
Te1 Te 0.000 0.500 0.000 1
Ir1 Ir 0.500 0.500 0.500 1
I1 I 0.000 0.000 0.500 1

---

#x
# HfTe2IrI | Alexandria via LeMat-Bulk | GGA-PBE | optimized geometry
# D(E_F): 3.8 states/eV/f.u.
# spin magnetization: 0.00 Bohr magnetons per cell
# crystal system: tetragonal
data_HfTe2IrI
_symmetry_space_group_name_H-M 'P 4/m m m'
_symmetry_Int_Tables_number 123
_symmetry_space_group_name_Hall '-P 4 2'
_cell_length_a 5.238
_cell_length_b 5.238
_cell_length_c 5.191
_cell_angle_alpha 90.00
_cell_angle_beta 90.00
_cell_angle_gamma 90.00
loop_
_atom_site_label
_atom_site_type_symbol
_atom_site_fract_x
_atom_site_fract_y
_atom_site_fract_z
_atom_site_occupancy
Hf1 Hf 0.000 0.000 0.000 1
Te1 Te 0.000 0.500 0.500 1
Ir1 Ir 0.500 0.500 0.500 1
I1 I 0.500 0.500 0.000 1

---

Which structure is most stable? #x, by 27.0 kJ/mol of atoms over the runner-up.

---

#w
# HfTeIrI2 | Alexandria via LeMat-Bulk | GGA-PBE | optimized geometry
# D(E_F): 5.2 states/eV/f.u.
# spin magnetization: 0.00 Bohr magnetons per cell
# crystal system: tetragonal
data_HfTeIrI2
_symmetry_space_group_name_H-M 'P 4/m m m'
_symmetry_Int_Tables_number 123
_symmetry_space_group_name_Hall '-P 4 2'
_cell_length_a 5.247
_cell_length_b 5.247
_cell_length_c 5.303
_cell_angle_alpha 90.00
_cell_angle_beta 90.00
_cell_angle_gamma 90.00
loop_
_atom_site_label
_atom_site_type_symbol
_atom_site_fract_x
_atom_site_fract_y
_atom_site_fract_z
_atom_site_occupancy
Hf1 Hf 0.000 0.000 0.000 1
Te1 Te 0.500 0.500 0.000 1
Ir1 Ir 0.500 0.500 0.500 1
I1 I 0.000 0.500 0.500 1

---

#x
# HfTeIrI2 | Alexandria via LeMat-Bulk | GGA-PBE | optimized geometry
# D(E_F): 6.5 states/eV/f.u.
# spin magnetization: 3.06 Bohr magnetons per cell
# crystal system: tetragonal
data_HfTeIrI2
_symmetry_space_group_name_H-M 'P 4/m m m'
_symmetry_Int_Tables_number 123
_symmetry_space_group_name_Hall '-P 4 2'
_cell_length_a 5.640
_cell_length_b 5.640
_cell_length_c 5.556
_cell_angle_alpha 90.00
_cell_angle_beta 90.00
_cell_angle_gamma 90.00
loop_
_atom_site_label
_atom_site_type_symbol
_atom_site_fract_x
_atom_site_fract_y
_atom_site_fract_z
_atom_site_occupancy
Hf1 Hf 0.000 0.000 0.000 1
Te1 Te 0.000 0.000 0.500 1
Ir1 Ir 0.500 0.500 0.500 1
I1 I 0.000 0.500 0.000 1

---

Which structure is most stable? #w, by 15.0 kJ/mol of atoms over the runner-up.

---

#w
# KHf3I | Alexandria via LeMat-Bulk | GGA-PBE | optimized geometry
# D(E_F): 0.3 states/eV/f.u.
# spin magnetization: 0.00 Bohr magnetons per cell
# crystal system: cubic
data_KHf3I
_symmetry_space_group_name_H-M 'P m -3 m'
_symmetry_Int_Tables_number 221
_symmetry_space_group_name_Hall '-P 4 2 3'
_cell_length_a 5.385
_cell_length_b 5.385
_cell_length_c 5.385
_cell_angle_alpha 90.00
_cell_angle_beta 90.00
_cell_angle_gamma 90.00
loop_
_atom_site_label
_atom_site_type_symbol
_atom_site_fract_x
_atom_site_fract_y
_atom_site_fract_z
_atom_site_occupancy
K1 K 0.000 0.000 0.000 1
Hf1 Hf 0.000 0.500 0.500 1
I1 I 0.500 0.500 0.500 1

---

#x
# KHf3I | Alexandria via LeMat-Bulk | GGA-PBE | optimized geometry
# D(E_F): 5.6 states/eV/f.u.
# spin magnetization: 0.00 Bohr magnetons per cell
# crystal system: cubic
data_KHf3I
_symmetry_space_group_name_H-M 'P m -3 m'
_symmetry_Int_Tables_number 221
_symmetry_space_group_name_Hall '-P 4 2 3'
_cell_length_a 5.140
_cell_length_b 5.140
_cell_length_c 5.140
_cell_angle_alpha 90.00
_cell_angle_beta 90.00
_cell_angle_gamma 90.00
loop_
_atom_site_label
_atom_site_type_symbol
_atom_site_fract_x
_atom_site_fract_y
_atom_site_fract_z
_atom_site_occupancy
K1 K 0.000 0.000 0.000 1
Hf1 Hf 0.000 0.000 0.500 1
I1 I 0.500 0.500 0.500 1

---

Which structure is most stable? #w, by 93.5 kJ/mol of atoms over the runner-up.

---

#w
# KHf2I | Alexandria via LeMat-Bulk | GGA-PBE | optimized geometry
# D(E_F): 3.5 states/eV/f.u.
# spin magnetization: 0.00 Bohr magnetons per cell
# crystal system: cubic
data_KHf2I
_symmetry_space_group_name_H-M 'F m -3 m'
_symmetry_Int_Tables_number 225
_symmetry_space_group_name_Hall '-F 4 2 3'
_cell_length_a 7.502
_cell_length_b 7.502
_cell_length_c 7.502
_cell_angle_alpha 90.00
_cell_angle_beta 90.00
_cell_angle_gamma 90.00
loop_
_atom_site_label
_atom_site_type_symbol
_atom_site_fract_x
_atom_site_fract_y
_atom_site_fract_z
_atom_site_occupancy
K1 K 0.000 0.000 0.000 1
Hf1 Hf 0.250 0.250 0.250 1
I1 I 0.000 0.000 0.500 1

---

#x
# KHf2I | Alexandria via LeMat-Bulk | GGA-PBE | optimized geometry
# D(E_F): 4.8 states/eV/f.u.
# spin magnetization: 0.00 Bohr magnetons per cell
# crystal system: tetragonal
data_KHf2I
_symmetry_space_group_name_H-M 'I -4 2 d'
_symmetry_Int_Tables_number 122
_symmetry_space_group_name_Hall 'I -4 2bw'
_cell_length_a 4.324
_cell_length_b 4.324
_cell_length_c 25.898
_cell_angle_alpha 90.00
_cell_angle_beta 90.00
_cell_angle_gamma 90.00
loop_
_atom_site_label
_atom_site_type_symbol
_atom_site_fract_x
_atom_site_fract_y
_atom_site_fract_z
_atom_site_occupancy
K1 K 0.000 0.000 0.000 1
Hf1 Hf 0.243 0.250 0.625 1
I1 I 0.000 0.000 0.500 1

---

Which structure is most stable? #x, by 46.0 kJ/mol of atoms over the runner-up.